Entry 1:
# CaPm2Mg2 (PBE-GGA, relaxed)
data_CaPm2Mg2
_space_group_name_H-M_alt 'C m c m'
_space_group_IT_number 63
_space_group_name_Hall '-C 2c 2'
_cell_length_a 3.7959
_cell_length_b 29.0984
_cell_length_c 5.6011
_cell_angle_alpha 90.00
_cell_angle_beta 90.00
_cell_angle_gamma 90.00
loop_
_atom_site_label
_atom_site_type_symbol
_atom_site_fract_x
_atom_site_fract_y
_atom_site_fract_z
Ca1 Ca 0.0000 0.1494 0.2500
Pm1 Pm 0.0000 0.0447 0.7500
Pm2 Pm 0.0000 0.2349 0.7500
Mg1 Mg 0.0000 0.3607 0.2500
Mg2 Mg 0.0000 0.4483 0.7500
# ΔH_f (0 K) in kJ/mol of formula units: -25
# Crystal system: orthorhombic



Entry 2:
# Sr2AlCd2 (PBE-GGA, relaxed)
data_Sr2AlCd2
_space_group_name_H-M_alt 'I 4/m m m'
_space_group_IT_number 139
_space_group_name_Hall '-I 4 2'
_cell_length_a 4.1003
_cell_length_b 4.1003
_cell_length_c 19.7835
_cell_angle_alpha 90.00
_cell_angle_beta 90.00
_cell_angle_gamma 90.00
loop_
_atom_site_label
_atom_site_type_symbol
_atom_site_fract_x
_atom_site_fract_y
_atom_site_fract_z
Sr1 Sr 0.0000 0.0000 0.0967
Al1 Al 0.0000 0.0000 0.5000
Cd1 Cd 0.0000 0.5000 0.2500
# ΔH_f (0 K) in kJ/mol of formula units: -32
# Crystal system: tetragonal